The following is a PBE-GGA calculation of a geometry-optimized TbLuFe4 structure, from Alexandria via LeMat-Bulk.

a = 5.1067 Å, b = 5.1067 Å, c = 5.1067 Å
α = 60.00°, β = 60.00°, γ = 60.00°
Closest atoms and distances in Å follow each position.
Sites, in units of the cell vectors:
Fe  0.1243  0.6252  0.6252  6 Fe 2.55-2.56
Fe  0.6252  0.6252  0.1243  6 Fe 2.55-2.56
Fe  0.6252  0.1243  0.6252  6 Fe 2.55-2.56
Fe  0.6252  0.6252  0.6252  6 Fe 2.55-2.56
Tb  0.2500  0.2500  0.2500  12 Fe 2.99, 4 Lu 3.13
Lu  0.0000  0.0000  0.0000  12 Fe 2.99, 4 Tb 3.13

Properties
- E (eV per atom) = -7.28
- M_tot (μB/atom) = 1.156
- formation enthalpy at 0 K (kJ/mol of formula units) = -66
- space-group type = No. 216